Record 1
Below is a relaxed structure of CaZn4Ge, with properties calculated at the PBE level.

Summary:
Calculated formation energy, eV per atom: -0.1071
Calculated total energy, Ha/atom: -0.076

Unit cell a=5.412 b=5.412 c=5.412 alpha=60.00 beta=60.00 gamma=60.00
Fractional positions:
Ca1 0.000 0.000 0.000
Zn1 0.126 0.625 0.625
Zn2 0.625 0.126 0.625
Zn3 0.625 0.625 0.126
Zn4 0.625 0.625 0.625
Ge1 0.250 0.250 0.250

Record 2
Below is a relaxed structure of Tb7PrAl5, with properties calculated at the PBE level.

Summary:
Calculated formation energy, eV per atom: -0.2270
Calculated total energy, Ha/atom: -0.166

Unit cell a=8.078 b=8.078 c=8.078 alpha=135.14 beta=101.05 gamma=95.71
Fractional positions:
Tb1 0.000 0.000 0.000
Tb2 0.008 0.671 0.337
Tb3 0.326 0.326 0.000
Tb4 0.334 0.671 0.663
Tb5 0.461 0.156 0.306
Tb6 0.850 0.156 0.694
Tb7 0.893 0.393 0.500
Pr1 0.654 0.654 0.000
Al1 0.176 0.166 0.508
Al2 0.176 0.667 0.009
Al3 0.424 0.924 0.500
Al4 0.658 0.166 0.991
Al5 0.658 0.667 0.492

Record 3
Below is a relaxed structure of Ba2IrNCl, with properties calculated at the PBE level.

Summary:
Formation energy from raw total energies, eV per atom: -1.0887
Calculated total energy, Ha/atom: -0.208

Unit cell a=5.795 b=5.795 c=3.808 alpha=90.00 beta=90.00 gamma=90.00
Fractional positions:
Ba1 0.000 0.500 0.000
Ba2 0.500 0.000 0.000
Ir1 0.000 0.000 0.500
N1 0.000 0.000 0.000
Cl1 0.500 0.500 0.500